[1]
{"formula": "KP3Pb", "functional": "PBE", "state": "relaxed", "lattice_angstrom": [[5.247, 0.000, 0.000], [0.000, 5.247, 0.000], [0.000, 0.000, 5.247]], "species": ["Pb", "P", "P", "P", "K"], "frac_coords": [[0.500, 0.500, 0.500], [0.000, 0.500, 0.000], [0.000, 0.000, 0.500], [0.500, 0.000, 0.000], [0.000, 0.000, 0.000]], "ef_ev_per_atom": 1.597, "polymorph_energy_mev_per_atom": 731, "final_energy_ev_per_atom": -2.6102, "space_group": "Pm-3m (221)", "volume_a3_per_cell": 144.4}

[2]
{"formula": "KSbHPb2", "functional": "PBE", "state": "relaxed", "lattice_angstrom": [[-4.560, 2.159, -0.582], [-1.365, -3.735, -3.159], [-1.755, -2.656, 3.898]], "species": ["Pb", "Pb", "Sb", "K", "H"], "frac_coords": [[0.000, 0.500, 0.000], [0.500, 0.000, 0.000], [0.500, 0.500, 0.500], [0.000, 0.000, 0.500], [0.000, 0.000, 0.000]], "final_energy_ev_per_atom": -3.1526, "space_group": "P4/mmm (123)", "volume_a3_per_cell": 129.8}

[3]
{"formula": "BaZn2Br", "functional": "PBE", "state": "relaxed", "lattice_angstrom": [[3.971, 0.000, 0.000], [0.000, 3.971, 0.000], [0.000, 0.000, 7.609]], "species": ["Ba", "Br", "Zn", "Zn"], "frac_coords": [[0.000, 0.000, 0.496], [0.500, 0.500, 0.731], [0.000, 0.000, 0.085], [0.500, 0.500, 0.188]], "raw_formation_energy_kj_per_mol_fu": -206, "polymorph_energy_mev_per_atom": 93, "final_energy_ev_per_atom": -2.0696, "space_group": "P4mm (99)", "volume_a3_per_cell": 120.0}

[4]
{"formula": "Be2V5Ni12", "functional": "PBE", "state": "relaxed", "lattice_angstrom": [[5.065, 0.000, 0.000], [-2.532, 6.246, 1.791], [0.000, -0.261, 6.702]], "species": ["Be", "Be", "V", "V", "V", "V", "V", "Ni", "Ni", "Ni", "Ni", "Ni", "Ni", "Ni", "Ni", "Ni", "Ni", "Ni", "Ni"], "frac_coords": [[0.688, 0.000, 0.000], [0.312, 0.000, 0.000], [0.229, 0.457, 0.771], [0.316, 0.632, 0.218], [0.000, 0.000, 0.500], [0.684, 0.368, 0.782], [0.771, 0.543, 0.229], [0.950, 0.901, 0.193], [0.088, 0.704, 0.895], [0.616, 0.704, 0.895], [0.089, 0.687, 0.514], [0.598, 0.687, 0.514], [0.501, 0.003, 0.685], [0.499, 0.997, 0.315], [0.911, 0.313, 0.486], [0.402, 0.313, 0.486], [0.912, 0.296, 0.105], [0.384, 0.296, 0.105], [0.050, 0.099, 0.807]], "ef_ev_per_atom": -0.110, "final_energy_ev_per_atom": -6.5534, "space_group": "C2/m (12)", "volume_a3_per_cell": 214.4}

[5]
{"formula": "Sb2RuAu", "functional": "PBE", "state": "relaxed", "lattice_angstrom": [[-7.572, -1.015, 1.159], [3.654, -3.168, 0.328], [-0.940, -0.753, 3.179]], "species": ["Au", "Ru", "Sb", "Sb"], "frac_coords": [[0.000, 0.500, 0.500], [0.500, 0.500, 0.000], [0.000, 0.000, 0.000], [0.500, 0.000, 0.500]], "raw_formation_energy_kj_per_mol_fu": 105, "polymorph_energy_mev_per_atom": 216, "final_energy_ev_per_atom": -4.9269, "space_group": "Cmmm (65)", "volume_a3_per_cell": 79.8}

[6]
{"formula": "MgIr2Ru", "functional": "PBE", "state": "relaxed", "lattice_angstrom": [[2.746, 0.003, 0.000], [-1.307, 2.415, 0.000], [0.000, 0.000, 9.138]], "species": ["Ir", "Ir", "Mg", "Ru"], "frac_coords": [[0.000, 0.000, 0.997], [0.500, 0.500, 0.252], [0.000, 0.000, 0.499], [0.500, 0.500, 0.752]], "ef_ev_per_atom": 0.243, "final_energy_ev_per_atom": -6.9053, "space_group": "Cmm2 (35)", "volume_a3_per_cell": 60.6}

[7]
{"formula": "Ce3AsS6", "functional": "PBE", "state": "relaxed", "lattice_angstrom": [[-1.719, 6.311, -1.892], [-6.229, 0.076, 5.914], [6.641, 3.144, 4.450]], "species": ["Ce", "Ce", "Ce", "Ce", "Ce", "Ce", "As", "As", "S", "S", "S", "S", "S", "S", "S", "S", "S", "S", "S", "S"], "frac_coords": [[0.497, 0.917, 0.701], [0.997, 0.701, 0.917], [0.385, 0.398, 0.602], [0.885, 0.602, 0.398], [0.997, 0.083, 0.299], [0.497, 0.299, 0.083], [0.919, 0.140, 0.860], [0.419, 0.860, 0.140], [0.190, 0.691, 0.630], [0.690, 0.630, 0.691], [0.216, 0.432, 0.900], [0.716, 0.900, 0.432], [0.238, 0.011, 0.989], [0.636, 0.231, 0.769], [0.136, 0.769, 0.231], [0.738, 0.989, 0.011], [0.216, 0.100, 0.568], [0.716, 0.568, 0.100], [0.190, 0.370, 0.309], [0.690, 0.309, 0.370]], "raw_formation_energy_kj_per_mol_fu": -1451, "final_energy_ev_per_atom": -6.2259, "space_group": "Cmc2_1 (36)", "volume_a3_per_cell": 492.2}

[8]
{"formula": "Tm3IrO7", "functional": "PBE", "state": "relaxed", "lattice_angstrom": [[-2.680, -5.646, -1.302], [5.097, -0.944, 3.726], [-4.217, 0.634, 5.929]], "species": ["Tm", "Tm", "Tm", "Tm", "Tm", "Tm", "Ir", "Ir", "O", "O", "O", "O", "O", "O", "O", "O", "O", "O", "O", "O", "O", "O"], "frac_coords": [[0.474, 0.474, 0.500], [0.526, 0.526, 0.000], [0.533, 0.000, 0.254], [0.467, 0.000, 0.754], [0.000, 0.533, 0.746], [0.000, 0.467, 0.246], [0.000, 0.000, 0.500], [0.000, 0.000, 0.000], [0.682, 0.936, 0.533], [0.318, 0.064, 0.033], [0.936, 0.682, 0.467], [0.064, 0.318, 0.967], [0.082, 0.329, 0.525], [0.918, 0.671, 0.025], [0.329, 0.082, 0.475], [0.671, 0.918, 0.975], [0.368, 0.632, 0.250], [0.632, 0.368, 0.750], [0.637, 0.363, 0.250], [0.363, 0.637, 0.750], [0.923, 0.077, 0.250], [0.077, 0.923, 0.750]], "raw_formation_energy_kj_per_mol_fu": -2892, "final_energy_ev_per_atom": -7.9054, "space_group": "C222_1 (20)", "volume_a3_per_cell": 281.6}

[9]
{"formula": "Sm3TmPu2S6", "functional": "PBE", "state": "relaxed", "lattice_angstrom": [[-1.213, 5.410, -4.022], [-2.080, -6.236, -1.926], [-4.584, 1.239, 4.990]], "species": ["Sm", "Sm", "Sm", "Tm", "Pu", "Pu", "S", "S", "S", "S", "S", "S"], "frac_coords": [[0.168, 0.832, 0.500], [0.832, 0.168, 0.500], [0.500, 0.500, 0.500], [0.000, 0.000, 0.000], [0.334, 0.666, 0.000], [0.666, 0.334, 0.000], [0.920, 0.591, 0.759], [0.753, 0.753, 0.243], [0.080, 0.409, 0.241], [0.591, 0.920, 0.759], [0.247, 0.247, 0.757], [0.409, 0.080, 0.241]], "raw_formation_energy_kj_per_mol_fu": -2249, "final_energy_ev_per_atom": -7.9473, "space_group": "C2/m (12)", "volume_a3_per_cell": 264.1}

[10]
{"formula": "YCrCo", "functional": "PBE", "state": "relaxed", "lattice_angstrom": [[-0.214, 2.699, 2.642], [-2.200, -3.068, 0.247], [3.110, -2.042, 2.337]], "species": ["Co", "Cr", "Y"], "frac_coords": [[0.000, 0.000, 0.167], [0.667, 0.333, 0.167], [0.333, 0.667, 0.667]], "ef_ev_per_atom": 0.090, "polymorph_energy_mev_per_atom": 0, "final_energy_ev_per_atom": -7.6407, "space_group": "P-6m2 (187)", "volume_a3_per_cell": 54.5}

[11]
{"formula": "ZrGaPb", "functional": "PBE", "state": "relaxed", "lattice_angstrom": [[7.468, 0.000, 0.007], [0.000, 3.297, 0.000], [-2.783, 0.000, 11.002]], "species": ["Zr", "Zr", "Zr", "Zr", "Ga", "Ga", "Ga", "Ga", "Pb", "Pb", "Pb", "Pb"], "frac_coords": [[0.111, 0.000, 0.631], [0.111, 0.500, 0.131], [0.520, 0.000, 0.336], [0.520, 0.500, 0.836], [0.868, 0.000, 0.251], [0.868, 0.500, 0.751], [0.812, 0.000, 0.974], [0.812, 0.500, 0.474], [0.531, 0.000, 0.608], [0.531, 0.500, 0.108], [0.196, 0.000, 0.908], [0.196, 0.500, 0.408]], "ef_ev_per_atom": -0.156, "polymorph_energy_mev_per_atom": 42, "final_energy_ev_per_atom": -5.2500, "space_group": "Cm (8)", "volume_a3_per_cell": 271.0}

[12]
{"formula": "Ac2HoSb3Pd4", "functional": "PBE", "state": "relaxed", "lattice_angstrom": [[-1.202, -1.355, 4.259], [-1.560, -4.006, -1.715], [10.397, -4.669, 1.450]], "species": ["Ac", "Ac", "Ho", "Sb", "Sb", "Sb", "Pd", "Pd", "Pd", "Pd"], "frac_coords": [[0.500, 0.000, 0.221], [0.000, 0.500, 0.779], [0.500, 0.500, 0.500], [0.000, 0.000, 0.500], [0.500, 0.000, 0.873], [0.000, 0.500, 0.127], [0.500, 0.500, 0.000], [0.000, 0.000, 0.000], [0.500, 0.000, 0.641], [0.000, 0.500, 0.359]], "raw_formation_energy_kj_per_mol_fu": -918, "final_energy_ev_per_atom": -5.5447, "space_group": "P-4m2 (115)", "volume_a3_per_cell": 246.1}

| no. | magnetization (μB/f.u.) |
| --- | --- |
| 1 | 0.0 |
| 2 | 0.0 |
| 3 | 0.1 |
| 4 | 0.0 |
| 5 | 0.0 |
| 6 | 0.9 |
| 7 | 1.4 |
| 8 | 2.0 |
| 9 | 11.3 |
| 10 | 0.0 |
| 11 | 0.0 |
| 12 | 0.0 |